Record 1
A plane-wave DFT calculation with PBE was carried out for an optimized crystal structure of NbAl2I.

abc: 4.878 4.878 4.878
angles: 60.00 60.00 60.00
Fractional positions:
Nb: 0.000 0.000 0.000
Al: 0.250 0.250 0.250
Al: 0.750 0.750 0.750
I: 0.500 0.500 0.500

Computed properties:
Total magnetization in μB/atom: 0.000
Crystal system: cubic
Uncorrected formation energy in eV/atom: 0.82
Energy above the lowest structure with this stoichiometry in eV/f.u.: 0.61

***

Record 2
A plane-wave DFT calculation with PBE was carried out for an optimized crystal structure of TcIrPt.

abc: 8.690 7.120 6.396
angles: 79.83 53.75 46.43
Fractional positions:
Tc: 0.027 0.027 0.223
Tc: 0.223 0.223 0.027
Tc: 0.777 0.777 0.973
Tc: 0.973 0.973 0.777
Ir: 0.069 0.681 0.069
Ir: 0.319 0.931 0.319
Ir: 0.681 0.069 0.681
Ir: 0.931 0.319 0.931
Pt: 0.000 0.500 0.500
Pt: 0.500 0.000 0.500
Pt: 0.500 0.500 0.000
Pt: 0.500 0.500 0.500

Computed properties:
Total magnetization in μB/atom: 0.000
Crystal system: orthorhombic
Formation energy in kJ/mol of formula units: 156
Energy above the lowest structure with this stoichiometry in eV/f.u.: 2.12

***

Record 3
A plane-wave DFT calculation with PBE was carried out for an optimized crystal structure of TlTcW2.

abc: 2.909 4.109 5.807
angles: 90.00 90.20 90.00
Fractional positions:
Tl: 0.000 0.000 0.000
Tc: 0.000 0.000 0.500
W: 0.498 0.500 0.714
W: 0.502 0.500 0.286

Computed properties:
Total magnetization in μB/atom: 0.000
Crystal system: monoclinic
Formation energy in kJ/mol of formula units: 236
Energy above the lowest structure with this stoichiometry in eV/f.u.: 0.25